Record 1
Li2Ca3Ga9 | PBE-GGA | optimized geometry

Calculated values
Calculated total energy, eV per atom: -3.1006
ΔE_f, eV/atom: -0.45

CIF file:
```
data_Li2Ca3Ga9
_chemical_formula_sum 'Li2 Ca3 Ga9'
_cell_length_a 4.394
_cell_length_b 8.369
_cell_length_c 8.369
_cell_angle_alpha 70.23
_cell_angle_beta 74.78
_cell_angle_gamma 74.78
_space_group_name_H-M_alt 'P 1'
_space_group_IT_number 1
_space_group_name_Hall 'P 1'
loop_
_atom_site_label
_atom_site_fract_x
_atom_site_fract_y
_atom_site_fract_z
Li1 0.500 0.313 0.687
Li2 0.500 0.687 0.313
Ca1 0.000 0.000 0.000
Ca2 0.699 0.301 0.301
Ca3 0.301 0.699 0.699
Ga1 0.000 0.500 0.500
Ga2 0.659 0.976 0.706
Ga3 0.341 0.024 0.294
Ga4 0.659 0.706 0.976
Ga5 0.341 0.294 0.024
Ga6 0.859 0.861 0.421
Ga7 0.141 0.139 0.579
Ga8 0.859 0.421 0.861
Ga9 0.141 0.579 0.139
```

=====

Record 2
LiCaGa4 | PBE-GGA | optimized geometry

Calculated values
Calculated total energy, eV per atom: -3.0086
ΔE_f, eV/atom: -0.34

CIF file:
```
data_LiCaGa4
_chemical_formula_sum 'Li1 Ca1 Ga4'
_cell_length_a 5.531
_cell_length_b 5.531
_cell_length_c 5.531
_cell_angle_alpha 60.00
_cell_angle_beta 60.00
_cell_angle_gamma 60.00
_space_group_name_H-M_alt 'P 1'
_space_group_IT_number 1
_space_group_name_Hall 'P 1'
loop_
_atom_site_label
_atom_site_fract_x
_atom_site_fract_y
_atom_site_fract_z
Ca1 0.250 0.250 0.250
Ga1 0.625 0.625 0.124
Ga2 0.625 0.124 0.625
Ga3 0.625 0.625 0.625
Ga4 0.124 0.625 0.625
Li1 0.000 0.000 0.000
```

=====

Record 3
LiCa4Ga2 | PBE-GGA | optimized geometry

Calculated values
Calculated total energy, eV per atom: -2.4854
Excess energy over the best structure of this formula in the dataset, meV/atom: 66
ΔE_f, eV/atom: -0.20

CIF file:
```
data_LiCa4Ga2
_chemical_formula_sum 'Li1 Ca4 Ga2'
_cell_length_a 5.233
_cell_length_b 5.233
_cell_length_c 9.580
_cell_angle_alpha 74.15
_cell_angle_beta 74.15
_cell_angle_gamma 60.00
_space_group_name_H-M_alt 'P 1'
_space_group_IT_number 1
_space_group_name_Hall 'P 1'
loop_
_atom_site_label
_atom_site_fract_x
_atom_site_fract_y
_atom_site_fract_z
Li1 0.500 0.500 0.500
Ca1 0.707 0.707 0.878
Ca2 0.883 0.883 0.350
Ca3 0.293 0.293 0.122
Ca4 0.117 0.117 0.650
Ga1 0.591 0.591 0.226
Ga2 0.409 0.409 0.774
```

=====

Record 4
Li2Ca2Ga | PBE-GGA | optimized geometry

Calculated values
Calculated total energy, eV per atom: -2.0821
Excess energy over the best structure of this formula in the dataset, meV/atom: 267
ΔE_f, eV/atom: 0.09

CIF file:
```
data_Li2Ca2Ga
_chemical_formula_sum 'Li4 Ca4 Ga2'
_cell_length_a 8.323
_cell_length_b 8.323
_cell_length_c 4.259
_cell_angle_alpha 90.00
_cell_angle_beta 90.00
_cell_angle_gamma 90.00
_space_group_name_H-M_alt 'P 1'
_space_group_IT_number 1
_space_group_name_Hall 'P 1'
loop_
_atom_site_label
_atom_site_fract_x
_atom_site_fract_y
_atom_site_fract_z
Ca1 0.341 0.841 0.000
Ca2 0.841 0.659 0.000
Ca3 0.659 0.159 0.000
Ca4 0.159 0.341 0.000
Ga1 0.000 0.000 0.000
Ga2 0.500 0.500 0.000
Li1 0.140 0.640 0.500
Li2 0.640 0.860 0.500
Li3 0.860 0.360 0.500
Li4 0.360 0.140 0.500
```

=====

Record 5
Li23CaGa6 | PBE-GGA | optimized geometry

Calculated values
Calculated total energy, eV per atom: -2.2787
ΔE_f, eV/atom: -0.14

CIF file:
```
data_Li23CaGa6
_chemical_formula_sum 'Li23 Ca1 Ga6'
_cell_length_a 9.122
_cell_length_b 9.122
_cell_length_c 9.122
_cell_angle_alpha 60.00
_cell_angle_beta 60.00
_cell_angle_gamma 60.00
_space_group_name_H-M_alt 'P 1'
_space_group_IT_number 1
_space_group_name_Hall 'P 1'
loop_
_atom_site_label
_atom_site_fract_x
_atom_site_fract_y
_atom_site_fract_z
Li1 0.645 0.118 0.118
Li2 0.355 0.882 0.882
Li3 0.118 0.118 0.645
Li4 0.118 0.118 0.118
Li5 0.882 0.882 0.355
Li6 0.882 0.882 0.882
Li7 0.118 0.645 0.118
Li8 0.882 0.355 0.882
Li9 0.500 0.500 0.000
Li10 0.000 0.000 0.500
Li11 0.500 0.000 0.000
Li12 0.000 0.500 0.500
Li13 0.500 0.000 0.500
Li14 0.000 0.500 0.000
Li15 0.902 0.366 0.366
Li16 0.098 0.634 0.634
Li17 0.366 0.366 0.902
Li18 0.366 0.366 0.366
Li19 0.634 0.634 0.098
Li20 0.634 0.634 0.634
Li21 0.366 0.902 0.366
Li22 0.634 0.098 0.634
Li23 0.000 0.000 0.000
Ca1 0.500 0.500 0.500
Ga1 0.748 0.748 0.252
Ga2 0.252 0.252 0.748
Ga3 0.748 0.252 0.252
Ga4 0.252 0.748 0.748
Ga5 0.748 0.252 0.748
Ga6 0.252 0.748 0.252
```

=====

Record 6
LiCaGa2 | PBE-GGA | optimized geometry

Calculated values
Calculated total energy, eV per atom: -2.8018
Excess energy over the best structure of this formula in the dataset, meV/atom: 116
ΔE_f, eV/atom: -0.31

CIF file:
```
data_LiCaGa2
_chemical_formula_sum 'Li1 Ca1 Ga2'
_cell_length_a 4.883
_cell_length_b 4.883
_cell_length_c 4.883
_cell_angle_alpha 60.00
_cell_angle_beta 60.00
_cell_angle_gamma 60.00
_space_group_name_H-M_alt 'P 1'
_space_group_IT_number 1
_space_group_name_Hall 'P 1'
loop_
_atom_site_label
_atom_site_fract_x
_atom_site_fract_y
_atom_site_fract_z
Ca1 0.500 0.500 0.500
Ga1 0.250 0.250 0.250
Ga2 0.750 0.750 0.750
Li1 0.000 0.000 0.000
```

=====

Record 7
Li2Ca2Ga | PBE-GGA | optimized geometry

Calculated values
Calculated total energy, eV per atom: -2.3487
Excess energy over the best structure of this formula in the dataset, meV/atom: 0
ΔE_f, eV/atom: -0.18

CIF file:
```
data_Li2Ca2Ga
_chemical_formula_sum 'Li2 Ca2 Ga1'
_cell_length_a 5.522
_cell_length_b 4.847
_cell_length_c 5.961
_cell_angle_alpha 66.01
_cell_angle_beta 62.41
_cell_angle_gamma 90.00
_space_group_name_H-M_alt 'P 1'
_space_group_IT_number 1
_space_group_name_Hall 'P 1'
loop_
_atom_site_label
_atom_site_fract_x
_atom_site_fract_y
_atom_site_fract_z
Li1 0.240 0.500 0.000
Li2 0.760 0.500 0.000
Ca1 0.693 0.193 0.614
Ca2 0.307 0.807 0.386
Ga1 0.000 0.000 0.000
```

=====

Record 8
Li3CaGa2 | PBE-GGA | optimized geometry

Calculated values
Calculated total energy, eV per atom: -2.5912
Excess energy over the best structure of this formula in the dataset, meV/atom: 0
ΔE_f, eV/atom: -0.29

CIF file:
```
data_Li3CaGa2
_chemical_formula_sum 'Li6 Ca2 Ga4'
_cell_length_a 4.441
_cell_length_b 7.111
_cell_length_c 9.211
_cell_angle_alpha 120.01
_cell_angle_beta 90.00
_cell_angle_gamma 108.20
_space_group_name_H-M_alt 'P 1'
_space_group_IT_number 1
_space_group_name_Hall 'P 1'
loop_
_atom_site_label
_atom_site_fract_x
_atom_site_fract_y
_atom_site_fract_z
Li1 0.261 0.522 0.423
Li2 0.951 0.902 0.610
Li3 0.578 0.157 0.685
Li4 0.422 0.843 0.315
Li5 0.049 0.098 0.390
Li6 0.739 0.478 0.577
Ca1 0.867 0.733 0.995
Ca2 0.133 0.267 0.005
Ga1 0.414 0.829 0.784
Ga2 0.586 0.171 0.216
Ga3 0.795 0.590 0.276
Ga4 0.205 0.410 0.724
```